No. 1
VASP calculation (PBE-GGA) on crystalline Ti2AgSn2 at its relaxed geometry.

excess energy over the best structure of this formula in the dataset: 0.00 eV/f.u.
volume: 20.5 A^3/atom
space-group type: P4/mbm (127)
formation energy: -40 meV/atom
raw total energy: -5.37 eV per atom

a b c (Å): 7.258 7.258 3.897
angles (deg): 90.00 90.00 90.00
Fractional positions:
Ti: 0.125 0.375 0.000
Ti: 0.375 0.875 0.000
Ti: 0.625 0.125 0.000
Ti: 0.875 0.625 0.000
Ag: 0.000 0.000 0.000
Ag: 0.500 0.500 0.000
Sn: 0.176 0.676 0.500
Sn: 0.324 0.176 0.500
Sn: 0.676 0.824 0.500
Sn: 0.824 0.324 0.500



No. 2
VASP calculation (PBE-GGA) on crystalline TiAg2Sn2 at its relaxed geometry.

volume: 21.3 A^3/atom
space-group type: P4/mbm (127)
formation energy: 164 meV/atom
raw total energy: -4.16 eV per atom

a b c (Å): 7.983 7.983 3.348
angles (deg): 90.00 90.00 90.00
Fractional positions:
Ti: 0.000 0.000 0.000
Ti: 0.500 0.500 0.000
Ag: 0.132 0.368 0.500
Ag: 0.368 0.868 0.500
Ag: 0.632 0.132 0.500
Ag: 0.868 0.632 0.500
Sn: 0.168 0.668 0.000
Sn: 0.332 0.168 0.000
Sn: 0.668 0.832 0.000
Sn: 0.832 0.332 0.000



No. 3
VASP calculation (PBE-GGA) on crystalline Ti6AgSn at its relaxed geometry.

volume: 17.6 A^3/atom
space-group type: P-6m2 (187)
formation energy: -106 meV/atom
raw total energy: -6.88 eV per atom

a b c (Å): 5.825 5.825 4.784
angles (deg): 90.00 90.00 120.00
Fractional positions:
Ti: 0.168 0.336 0.000
Ti: 0.168 0.832 0.000
Ti: 0.328 0.164 0.500
Ti: 0.664 0.832 0.000
Ti: 0.836 0.164 0.500
Ti: 0.836 0.672 0.500
Ag: 0.667 0.333 0.000
Sn: 0.333 0.667 0.500



No. 4
VASP calculation (PBE-GGA) on crystalline Ti3AgSn at its relaxed geometry.

excess energy over the best structure of this formula in the dataset: 3.39 eV/f.u.
volume: 22.7 A^3/atom
space-group type: Pm-3m (221)
formation energy: 750 meV/atom
raw total energy: -5.36 eV per atom

a b c (Å): 4.841 4.841 4.841
angles (deg): 90.00 90.00 90.00
Fractional positions:
Ti: 0.000 0.000 0.500
Ti: 0.000 0.500 0.000
Ti: 0.500 0.000 0.000
Ag: 0.000 0.000 0.000
Sn: 0.500 0.500 0.500



No. 5
VASP calculation (PBE-GGA) on crystalline TiAg3Sn at its relaxed geometry.

excess energy over the best structure of this formula in the dataset: 0.00 eV/f.u.
volume: 26.7 A^3/atom
space-group type: Pm-3m (221)
formation energy: 854 meV/atom
raw total energy: -3.24 eV per atom

a b c (Å): 5.110 5.110 5.110
angles (deg): 90.00 90.00 90.00
Fractional positions:
Ti: 0.000 0.000 0.000
Ag: 0.000 0.500 0.500
Ag: 0.500 0.000 0.500
Ag: 0.500 0.500 0.000
Sn: 0.500 0.500 0.500



No. 6
VASP calculation (PBE-GGA) on crystalline TiAg3Sn at its relaxed geometry.

excess energy over the best structure of this formula in the dataset: 0.41 eV/f.u.
volume: 26.0 A^3/atom
space-group type: Pm-3m (221)
formation energy: 935 meV/atom
raw total energy: -3.16 eV per atom

a b c (Å): 5.064 5.064 5.064
angles (deg): 90.00 90.00 90.00
Fractional positions:
Ti: 0.000 0.000 0.000
Ag: 0.000 0.000 0.500
Ag: 0.000 0.500 0.000
Ag: 0.500 0.000 0.000
Sn: 0.500 0.500 0.500



No. 7
VASP calculation (PBE-GGA) on crystalline Ti5AgSn2 at its relaxed geometry.

volume: 21.4 A^3/atom
space-group type: Cmcm (63)
formation energy: 228 meV/atom
raw total energy: -6.06 eV per atom

a b c (Å): 6.788 6.788 11.680
angles (deg): 90.00 90.00 140.42
Fractional positions:
Ti: 0.118 0.882 0.625
Ti: 0.118 0.882 0.875
Ti: 0.305 0.695 0.250
Ti: 0.307 0.693 0.502
Ti: 0.307 0.693 0.998
Ti: 0.693 0.307 0.002
Ti: 0.693 0.307 0.498
Ti: 0.695 0.305 0.750
Ti: 0.882 0.118 0.125
Ti: 0.882 0.118 0.375
Ag: 0.330 0.670 0.750
Ag: 0.670 0.330 0.250
Sn: 0.102 0.898 0.118
Sn: 0.102 0.898 0.382
Sn: 0.898 0.102 0.618
Sn: 0.898 0.102 0.882



No. 8
VASP calculation (PBE-GGA) on crystalline TiAgSn4 at its relaxed geometry.

volume: 23.2 A^3/atom
space-group type: I4/mcm (140)
formation energy: -16 meV/atom
raw total energy: -4.48 eV per atom

a b c (Å): 7.821 7.821 7.821
angles (deg): 129.34 129.34 74.47
Fractional positions:
Ti: 0.250 0.250 0.000
Ti: 0.750 0.750 0.000
Ag: 0.000 0.000 0.000
Ag: 0.500 0.500 0.000
Sn: 0.030 0.530 0.814
Sn: 0.216 0.030 0.500
Sn: 0.284 0.784 0.814
Sn: 0.470 0.284 0.500
Sn: 0.530 0.716 0.500
Sn: 0.716 0.216 0.186
Sn: 0.784 0.970 0.500
Sn: 0.970 0.470 0.186



No. 9
VASP calculation (PBE-GGA) on crystalline Ti3AgSn at its relaxed geometry.

excess energy over the best structure of this formula in the dataset: 0.00 eV/f.u.
volume: 19.3 A^3/atom
space-group type: C2/m (12)
formation energy: 71 meV/atom
raw total energy: -6.04 eV per atom

a b c (Å): 5.574 5.574 7.967
angles (deg): 90.03 90.03 51.40
Fractional positions:
Ti: 0.036 0.036 0.193
Ti: 0.131 0.131 0.534
Ti: 0.320 0.320 0.255
Ti: 0.680 0.680 0.745
Ti: 0.869 0.869 0.466
Ti: 0.964 0.964 0.807
Ag: 0.223 0.223 0.920
Ag: 0.777 0.777 0.080
Sn: 0.400 0.400 0.648
Sn: 0.600 0.600 0.352



No. 10
VASP calculation (PBE-GGA) on crystalline TiAgSn at its relaxed geometry.

volume: 20.8 A^3/atom
space-group type: C2/m (12)
formation energy: -28 meV/atom
raw total energy: -4.94 eV per atom

a b c (Å): 2.985 2.985 14.058
angles (deg): 92.59 92.59 90.19
Fractional positions:
Ti: 0.236 0.236 0.432
Ti: 0.764 0.764 0.568
Ag: 0.234 0.234 0.927
Ag: 0.766 0.766 0.073
Sn: 0.306 0.306 0.729
Sn: 0.694 0.694 0.271



No. 11
VASP calculation (PBE-GGA) on crystalline Ti2AgSn2 at its relaxed geometry.

excess energy over the best structure of this formula in the dataset: 0.03 eV/f.u.
volume: 20.2 A^3/atom
space-group type: P4/mbm (127)
formation energy: -33 meV/atom
raw total energy: -5.36 eV per atom

a b c (Å): 7.230 7.230 3.859
angles (deg): 90.00 90.00 90.00
Fractional positions:
Ti: 0.167 0.333 0.000
Ti: 0.333 0.833 0.000
Ti: 0.667 0.167 0.000
Ti: 0.833 0.667 0.000
Ag: 0.000 0.000 0.500
Ag: 0.500 0.500 0.500
Sn: 0.138 0.638 0.500
Sn: 0.362 0.138 0.500
Sn: 0.638 0.862 0.500
Sn: 0.862 0.362 0.500



No. 12
VASP calculation (PBE-GGA) on crystalline ZrTiAgSn at its relaxed geometry.

volume: 19.9 A^3/atom
space-group type: F-43m (216)
formation energy: -151 meV/atom
raw total energy: -5.97 eV per atom

a b c (Å): 4.828 4.828 4.828
angles (deg): 60.00 60.00 60.00
Fractional positions:
Zr: 0.000 0.000 0.000
Ti: 0.500 0.500 0.500
Ag: 0.750 0.750 0.750
Sn: 0.250 0.250 0.250